(1)
An optimized crystal structure of Sr3Nd4Te8, computed with GGA-PBE.

a b c (Å): 12.9445 12.9756 9.1105
angles (deg): 90.00 134.43 90.00
Closest atoms and distances in Å follow each position.
Space group C2/m (No. 12)
Asymmetric unit:
Sr: 0.0000 0.0000 0.0000 (multiplicity 2)  6 Te 3.29-3.30
Sr: 0.2500 0.2500 0.0000 (multiplicity 4)  6 Te 3.24-3.25
Nd: 0.0000 0.5000 0.0000 (multiplicity 2)  6 Te 3.17-3.20
Nd: 0.0000 0.5000 0.5000 (multiplicity 2)  6 Te 3.20-3.25
Nd: 0.2500 0.2500 0.5000 (multiplicity 4)  6 Te 3.24-3.25
Te: 0.0000 0.2511 0.5000 (multiplicity 4)  3 Nd 3.23-3.24, 2 Sr 3.25
Te: 0.0000 0.2532 0.0000 (multiplicity 4)  3 Nd 3.20-3.25, 3 Sr 3.24-3.29
Te: 0.2410 0.5000 0.9922 (multiplicity 4)  2 Nd 3.17-3.20, 3 Sr 3.24-3.30
Te: 0.2469 0.5000 0.4924 (multiplicity 4)  4 Nd 3.20-3.25, 1 Sr 3.30

Calculated values
V (Å³ per atom): 36.422
Energy (eV per atom): -4.83


(2)
An optimized crystal structure of SrNdTe, computed with GGA-PBE.

a b c (Å): 4.1506 5.8996 18.7843
angles (deg): 90.00 90.00 90.00
Closest atoms and distances in Å follow each position.
Space group Immm (No. 71)
Asymmetric unit:
Sr: 0.0000 0.0000 0.1685 (multiplicity 4)  5 Te 3.28-3.61
Nd: 0.0000 0.2473 0.5000 (multiplicity 4)  2 Nd 2.92-2.98
Te: 0.0000 0.0000 0.3433 (multiplicity 4)  5 Sr 3.28-3.61, 2 Nd 3.29

Calculated values
V (Å³ per atom): 38.331
Energy (eV per atom): -3.89


(3)
An optimized crystal structure of SrNd2Te3, computed with GGA-PBE.

a b c (Å): 4.5344 6.4492 13.7911
angles (deg): 90.00 90.00 90.00
Closest atoms and distances in Å follow each position.
Space group Immm (No. 71)
Asymmetric unit:
Sr: 0.0000 0.0000 0.0000 (multiplicity 2)  6 Te 3.22-3.27
Nd: 0.0000 0.0000 0.3359 (multiplicity 4)  6 Te 3.20-3.23
Te: 0.0000 0.5000 0.0000 (multiplicity 2)  4 Nd 3.20, 2 Sr 3.22
Te: 0.0000 0.5000 0.3294 (multiplicity 4)  4 Nd 3.22-3.23, 2 Sr 3.27

Calculated values
V (Å³ per atom): 33.608
Energy (eV per atom): -4.94


(4)
An optimized crystal structure of SrNdTe2, computed with GGA-PBE.

a b c (Å): 4.4793 4.4793 24.1505
angles (deg): 90.00 90.00 120.00
Closest atoms and distances in Å follow each position.
Space group R3m (No. 160, hexagonal axes)
Asymmetric unit:
Sr: 0.0000 0.0000 0.0000 (multiplicity 3)  6 Te 3.29-3.40
Nd: 0.0000 0.0000 0.8276 (multiplicity 3)  6 Te 3.19-3.24
Te: 0.0000 0.0000 0.2420 (multiplicity 3)  3 Nd 3.24, 3 Sr 3.40
Te: 0.0000 0.0000 0.4172 (multiplicity 3)  3 Nd 3.19, 3 Sr 3.29

Calculated values
V (Å³ per atom): 34.969
Energy relative to the lowest polymorph listed for this composition (eV/atom): 0.059


(5)
An optimized crystal structure of Sr3Nd2ThTe6, computed with GGA-PBE.

a b c (Å): 20.2420 4.5267 9.3337
angles (deg): 90.00 105.57 90.00
Closest atoms and distances in Å follow each position.
Space group C2/m (No. 12)
Asymmetric unit:
Sr: 0.0000 0.0000 0.0000 (multiplicity 2)  6 Te 3.29-3.32
Sr: 0.1677 0.5000 0.3301 (multiplicity 4)  6 Te 3.28-3.29
Nd: 0.1642 0.5000 0.8271 (multiplicity 4)  6 Te 3.20-3.24
Th: 0.0000 0.0000 0.5000 (multiplicity 2)  6 Te 3.21
Te: 0.9997 0.5000 0.2557 (multiplicity 4)  1 Nd 3.20, 2 Th 3.21, 3 Sr 3.28-3.29
Te: 0.1643 0.0000 0.5842 (multiplicity 4)  2 Nd 3.20, 1 Th 3.21, 3 Sr 3.28-3.29
Te: 0.1697 0.0000 0.0755 (multiplicity 4)  3 Nd 3.22-3.24, 3 Sr 3.29-3.32

Calculated values
V (Å³ per atom): 34.328
Energy (eV per atom): -4.87


(6)
An optimized crystal structure of Sr3Nd2TmTe6, computed with GGA-PBE.

a b c (Å): 7.8629 13.5943 8.0261
angles (deg): 90.00 109.07 90.00
Closest atoms and distances in Å follow each position.
Space group C2/m (No. 12)
Asymmetric unit:
Sr: 0.0000 0.0000 0.0000 (multiplicity 2)  6 Te 3.27-3.36
Sr: 0.0000 0.3292 0.0000 (multiplicity 4)  6 Te 3.27-3.33
Nd: 0.0000 0.1652 0.5000 (multiplicity 4)  6 Te 3.20-3.21
Tm: 0.0000 0.5000 0.5000 (multiplicity 2)  6 Te 3.10-3.11
Te: 0.2393 0.3384 0.7348 (multiplicity 8)  1 Tm 3.10, 2 Nd 3.21, 3 Sr 3.27-3.33
Te: 0.2426 0.5000 0.2618 (multiplicity 4)  1 Tm 3.11, 2 Nd 3.20, 3 Sr 3.29-3.36

Calculated values
V (Å³ per atom): 33.785
Energy (eV per atom): -4.67


(7)
An optimized crystal structure of Sr3NdY2Te6, computed with GGA-PBE.

a b c (Å): 20.0211 4.5120 9.2054
angles (deg): 90.00 104.88 90.00
Closest atoms and distances in Å follow each position.
Space group C2/m (No. 12)
Asymmetric unit:
Sr: 0.0000 0.0000 0.0000 (multiplicity 2)  6 Te 3.25-3.34
Sr: 0.1646 0.5000 0.3317 (multiplicity 4)  6 Te 3.27-3.33
Nd: 0.0000 0.0000 0.5000 (multiplicity 2)  6 Te 3.20-3.22
Y: 0.1640 0.5000 0.8270 (multiplicity 4)  6 Te 3.09-3.17
Te: 0.0043 0.5000 0.7483 (multiplicity 4)  1 Y 3.09, 2 Nd 3.20, 3 Sr 3.25-3.27
Te: 0.1662 0.0000 0.5940 (multiplicity 4)  2 Y 3.12, 1 Nd 3.22, 3 Sr 3.28-3.30
Te: 0.1722 0.0000 0.0703 (multiplicity 4)  3 Y 3.15-3.17, 3 Sr 3.33-3.34

Calculated values
V (Å³ per atom): 33.487
Energy (eV per atom): -4.99


(8)
An optimized crystal structure of SrNd2Y3Te6, computed with GGA-PBE.

a b c (Å): 19.5340 4.4447 8.9863
angles (deg): 90.00 104.13 90.00
Closest atoms and distances in Å follow each position.
Space group C2/m (No. 12)
Asymmetric unit:
Sr: 0.0000 0.0000 0.0000 (multiplicity 2)  6 Te 3.23-3.24
Nd: 0.1731 0.5000 0.3468 (multiplicity 4)  6 Te 3.14-3.28
Y: 0.0000 0.0000 0.5000 (multiplicity 2)  6 Te 3.06-3.09
Y: 0.1664 0.5000 0.8235 (multiplicity 4)  6 Te 3.05-3.17
Te: 0.0000 0.5000 0.2608 (multiplicity 4)  3 Y 3.09-3.15, 2 Sr 3.23, 1 Nd 3.28
Te: 0.1614 0.0000 0.5886 (multiplicity 4)  3 Y 3.05-3.06, 3 Nd 3.14-3.16
Te: 0.1709 0.0000 0.0774 (multiplicity 4)  3 Y 3.08-3.17, 1 Sr 3.24, 2 Nd 3.28

Calculated values
V (Å³ per atom): 31.526
Energy (eV per atom): -5.54